[1]
DFT (PBE-GGA) results for KMgIn4 after structural relaxation.

- energy above the most stable polymorph in this dataset (eV/atom) = 0.0000
- magnetization (μB/atom) = 0.000
- symmetry = P6/mmm

abc: 5.0825 5.0825 8.1385
angles: 90.00 90.00 120.00
Element x y z (fractional)
Mg 0.0000 0.0000 0.0000
In 0.6667 0.3333 0.8000
In 0.3333 0.6667 0.8000
In 0.3333 0.6667 0.2000
K 0.0000 0.0000 0.5000
In 0.6667 0.3333 0.2000

[2]
DFT (PBE-GGA) results for GaPH3 after structural relaxation.

- energy above the most stable polymorph in this dataset (eV/atom) = 0.0000
- magnetization (μB/atom) = 0.000
- symmetry = Pm-3m

abc: 3.6590 3.6590 3.6590
angles: 90.00 90.00 90.00
Element x y z (fractional)
Ga 0.5000 0.5000 0.5000
H 0.5000 0.0000 0.0000
P 0.0000 0.0000 0.0000
H 0.0000 0.0000 0.5000
H 0.0000 0.5000 0.0000

Number 1: E_tot -2.3542 eV/atom. Number 2: E_tot -3.2205 eV/atom.